Here is an optimized crystal structure of Pu3HgPt from Alexandria. Energies are from GGA-PBE.

a b c (Å): 5.2289 5.2289 10.8880
angles (deg): 90.00 90.00 120.00
Space group P6_3/mmc (No. 194)
Inequivalent atoms, fractional coordinates:
Pu  0.0000  0.0000  0.2500 (multiplicity 2)
Pu  0.3333  0.6667  0.0726 (multiplicity 4)
Hg  0.3333  0.6667  0.7500 (multiplicity 2)
Pt  0.0000  0.0000  0.0000 (multiplicity 2)

Summary:
E_tot: -101.30 eV for the cell shown
total moment: 34.85 Bohr magnetons per cell



Here is an optimized crystal structure of Pu3HgPt8 from Alexandria. Energies are from GGA-PBE.

a b c (Å): 5.4366 5.4366 26.6081
angles (deg): 90.00 90.00 120.00
Space group R3m (No. 160, hexagonal axes)
Inequivalent atoms, fractional coordinates:
Pu  0.0000  0.0000  0.0000 (multiplicity 3)
Pu  0.0000  0.0000  0.1273 (multiplicity 3)
Pu  0.0000  0.0000  0.5070 (multiplicity 3)
Hg  0.0000  0.0000  0.6304 (multiplicity 3)
Pt  0.0000  0.0000  0.3159 (multiplicity 3)
Pt  0.0000  0.0000  0.8160 (multiplicity 3)
Pt  0.0010  0.5005  0.0669 (multiplicity 9)
Pt  0.1678  0.3355  0.8985 (multiplicity 9)

Summary:
E_tot: -300.77 eV for the cell shown
total moment: 45.76 Bohr magnetons per cell